This record from OQMD describes a relaxed structure of Ba2Pd3Pb2. The functional is PBE.

CIF file:
```
data_Ba2Pd3Pb2
_space_group_name_H-M_alt 'R 3 m'
_space_group_IT_number 160
_space_group_name_Hall 'R 3 -2"'
_cell_length_a 4.8119
_cell_length_b 4.8119
_cell_length_c 30.3687
_cell_angle_alpha 90.00
_cell_angle_beta 90.00
_cell_angle_gamma 120.00
loop_
_atom_site_label
_atom_site_fract_x
_atom_site_fract_y
_atom_site_fract_z
Ba1 0.0000 0.0000 0.0000
Ba2 0.0000 0.0000 0.4935
Pd1 0.0000 0.0000 0.3921
Pd2 0.0000 0.0000 0.5965
Pd3 0.0000 0.0000 0.8936
Pb1 0.0000 0.0000 0.2463
Pb2 0.0000 0.0000 0.7479
```

Computed properties:
- electronic total energy (eV/cell) = -90.12

---

This record from OQMD describes a relaxed structure of Ba2PdPb. The functional is PBE.

CIF file:
```
data_Ba2PdPb
_space_group_name_H-M_alt 'A m m 2'
_space_group_IT_number 38
_cell_length_a 4.902
_cell_length_b 5.176
_cell_length_c 11.741
_cell_angle_alpha 90.00
_cell_angle_beta 90.00
_cell_angle_gamma 90.00
loop_
_space_group_symop_operation_xyz
'x,y,z'
'-x,-y,z'
'-x,y,z'
'x,-y,z'
'x,y+1/2,z+1/2'
'-x,-y+1/2,z+1/2'
'-x,y+1/2,z+1/2'
'x,-y+1/2,z+1/2'
loop_
_atom_site_label
_atom_site_fract_x
_atom_site_fract_y
_atom_site_fract_z
Ba1 0.000 0.000 0.000
Ba2 0.500 0.000 0.289
Pd1 0.000 0.000 0.710
Pb1 0.500 0.000 0.592
```

Computed properties:
- electronic total energy (eV/cell) = -29.48

---

This record from OQMD describes a relaxed structure of Ba2PdPtPb4. The functional is PBE.

CIF file:
```
data_Ba2PdPtPb4
_space_group_name_H-M_alt 'P 1 m 1'
_space_group_IT_number 6
_cell_length_a 4.675
_cell_length_b 8.169
_cell_length_c 6.646
_cell_angle_alpha 90.00
_cell_angle_beta 110.48
_cell_angle_gamma 90.00
loop_
_space_group_symop_operation_xyz
'x,y,z'
'x,-y,z'
loop_
_atom_site_label
_atom_site_fract_x
_atom_site_fract_y
_atom_site_fract_z
Ba1 0.000 0.000 0.000
Ba2 0.129 0.500 0.253
Pd1 0.277 0.000 0.550
Pt1 0.853 0.500 0.704
Pb1 0.409 0.301 0.817
Pb2 0.718 0.199 0.433
```

Computed properties:
- electronic total energy (eV/cell) = -34.21
- M_tot (μB/cell) = 0.0

---

This record from OQMD describes a relaxed structure of Ba3Tl2PdPt2Pb. The functional is PBE.

CIF file:
```
data_Ba3Tl2PdPt2Pb
_space_group_name_H-M_alt 'A m m 2'
_space_group_IT_number 38
_cell_length_a 4.424
_cell_length_b 14.210
_cell_length_c 8.189
_cell_angle_alpha 90.00
_cell_angle_beta 90.00
_cell_angle_gamma 90.00
loop_
_space_group_symop_operation_xyz
'x,y,z'
'-x,-y,z'
'-x,y,z'
'x,-y,z'
'x,y+1/2,z+1/2'
'-x,-y+1/2,z+1/2'
'-x,y+1/2,z+1/2'
'x,-y+1/2,z+1/2'
loop_
_atom_site_label
_atom_site_fract_x
_atom_site_fract_y
_atom_site_fract_z
Ba1 0.000 0.000 0.000
Ba2 0.000 0.209 0.381
Tl1 0.500 0.123 0.708
Pd1 0.000 0.000 0.582
Pt1 0.500 0.162 0.093
Pb1 0.500 0.000 0.345
```

Computed properties:
- electronic total energy (eV/cell) = -73.04
- M_tot (μB/cell) = 0.0